Entry 1:
Ac8TlOs3Br4 after structural relaxation. Source: Alexandria via LeMat-Bulk, functional PBE.

Summary:
Total DFT energy (no corrections) (eV per atom): -5.475
Uncorrected formation energy (eV/atom): -0.750
DOS at the Fermi energy (states/eV/f.u.): 6.31

Unit cell a=8.942 b=8.942 c=9.659 alpha=117.61 beta=117.61 gamma=60.00
Element x y z (fractional)
1 Ac 0.205 0.746 0.696
2 Ac 0.234 0.234 0.700
3 Ac 0.254 0.254 0.304
4 Ac 0.254 0.795 0.304
5 Ac 0.746 0.205 0.696
6 Ac 0.746 0.746 0.696
7 Ac 0.766 0.766 0.300
8 Ac 0.795 0.254 0.304
9 Tl 0.500 0.500 0.500
10 Os 0.000 0.000 0.500
11 Os 0.000 0.500 0.500
12 Os 0.500 0.000 0.500
13 Br 0.000 0.000 0.000
14 Br 0.000 0.500 0.000
15 Br 0.500 0.000 0.000
16 Br 0.500 0.500 0.000



Entry 2:
Co2W after structural relaxation. Source: Alexandria via LeMat-Bulk, functional PBE.

Summary:
Formation energy from the elements (eV/f.u.): 1.59
Total DFT energy (no corrections) (eV per atom): -8.524
DOS at the Fermi energy (states/eV/f.u.): 0.96

Unit cell a=4.740 b=4.740 c=4.740 alpha=114.22 beta=114.22 gamma=100.34
Element x y z (fractional)
1 Co 0.150 0.650 0.801
2 Co 0.350 0.150 0.500
3 Co 0.650 0.850 0.500
4 Co 0.850 0.350 0.199
5 W 0.250 0.250 0.000
6 W 0.750 0.750 0.000



Entry 3:
Cd2P after structural relaxation. Source: Alexandria via LeMat-Bulk, functional PBE.

Summary:
Formation energy from the elements (eV/f.u.): 0.74
Total DFT energy (no corrections) (eV per atom): -2.167
Energy above the most stable polymorph in this dataset (eV per formula unit): 0.47
DOS at the Fermi energy (states/eV/f.u.): 1.93

Unit cell a=5.029 b=5.029 c=5.675 alpha=90.00 beta=90.00 gamma=120.00
Element x y z (fractional)
1 Cd 0.000 0.000 0.000
2 Cd 0.000 0.000 0.500
3 Cd 0.333 0.667 0.250
4 Cd 0.667 0.333 0.750
5 P 0.333 0.667 0.750
6 P 0.667 0.333 0.250



Entry 4:
PdRhO2 after structural relaxation. Source: Alexandria via LeMat-Bulk, functional PBE.

Summary:
Total DFT energy (no corrections) (eV per atom): -5.515
Uncorrected formation energy (eV/atom): 0.100
DOS at the Fermi energy (states/eV/f.u.): 4.18

Unit cell a=3.180 b=3.180 c=4.526 alpha=90.00 beta=90.00 gamma=90.00
Element x y z (fractional)
1 Pd 0.000 0.000 0.000
2 Rh 0.500 0.500 0.500
3 O 0.000 0.000 0.500
4 O 0.500 0.500 0.000



Entry 5:
CdAs2PtO6 after structural relaxation. Source: Alexandria via LeMat-Bulk, functional PBE.

Summary:
Total DFT energy (no corrections) (eV per atom): -5.489
Uncorrected formation energy (eV/atom): -0.888
DOS at the Fermi energy (states/eV/f.u.): 0.76

Unit cell a=6.467 b=6.467 c=6.586 alpha=107.55 beta=107.55 gamma=79.04
Element x y z (fractional)
1 Cd 0.126 0.874 0.750
2 Cd 0.874 0.126 0.250
3 As 0.290 0.339 0.764
4 As 0.339 0.290 0.264
5 As 0.661 0.710 0.736
6 As 0.710 0.661 0.236
7 Pt 0.312 0.688 0.250
8 Pt 0.688 0.312 0.750
9 O 0.051 0.202 0.674
10 O 0.193 0.597 0.917
11 O 0.202 0.051 0.174
12 O 0.213 0.417 0.497
13 O 0.403 0.807 0.583
14 O 0.417 0.213 0.997
15 O 0.583 0.787 0.003
16 O 0.597 0.193 0.417
17 O 0.787 0.583 0.503
18 O 0.798 0.949 0.826
19 O 0.807 0.403 0.083
20 O 0.949 0.798 0.326



Entry 6:
La2HoScO6 after structural relaxation. Source: Alexandria via LeMat-Bulk, functional PBE.

Summary:
Total DFT energy (no corrections) (eV per atom): -8.560
Uncorrected formation energy (eV/atom): -3.509
DOS at the Fermi energy (states/eV/f.u.): 0.00

Unit cell a=5.792 b=5.978 c=10.138 alpha=90.00 beta=124.53 gamma=90.00
Element x y z (fractional)
1 La 0.236 0.049 0.251
2 La 0.236 0.451 0.751
3 La 0.764 0.549 0.249
4 La 0.764 0.951 0.749
5 Ho 0.500 0.000 0.000
6 Ho 0.500 0.500 0.500
7 Sc 0.000 0.000 0.500
8 Sc 0.000 0.500 0.000
9 O 0.125 0.205 0.936
10 O 0.125 0.295 0.436
11 O 0.234 0.692 0.939
12 O 0.234 0.808 0.439
13 O 0.360 0.049 0.743
14 O 0.360 0.451 0.243
15 O 0.640 0.549 0.757
16 O 0.640 0.951 0.257
17 O 0.766 0.192 0.561
18 O 0.766 0.308 0.061
19 O 0.875 0.705 0.564
20 O 0.875 0.795 0.064



Entry 7:
TaCrRe after structural relaxation. Source: Alexandria via LeMat-Bulk, functional PBE.

Summary:
Formation energy from the elements (eV/f.u.): 2.97
Total DFT energy (no corrections) (eV per atom): -10.318
Energy above the most stable polymorph in this dataset (eV per formula unit): 3.36
DOS at the Fermi energy (states/eV/f.u.): 3.84

Unit cell a=4.282 b=4.282 c=4.282 alpha=60.00 beta=60.00 gamma=60.00
Element x y z (fractional)
1 Ta 0.000 0.000 0.000
2 Cr 0.750 0.750 0.750
3 Re 0.250 0.250 0.250



Entry 8:
HoTm6 after structural relaxation. Source: Alexandria via LeMat-Bulk, functional PBE.

Summary:
Formation energy from the elements (eV/f.u.): 1.92
Total DFT energy (no corrections) (eV per atom): -4.213
Energy above the most stable polymorph in this dataset (eV per formula unit): 0.00
DOS at the Fermi energy (states/eV/f.u.): 9.44

Unit cell a=6.402 b=6.402 c=10.795 alpha=90.00 beta=90.00 gamma=90.00
Element x y z (fractional)
1 Ho 0.250 0.750 0.000
2 Ho 0.750 0.250 0.000
3 Tm 0.081 0.581 0.363
4 Tm 0.081 0.919 0.637
5 Tm 0.250 0.250 0.141
6 Tm 0.250 0.250 0.859
7 Tm 0.419 0.581 0.637
8 Tm 0.419 0.919 0.363
9 Tm 0.581 0.081 0.637
10 Tm 0.581 0.419 0.363
11 Tm 0.750 0.750 0.141
12 Tm 0.750 0.750 0.859
13 Tm 0.919 0.081 0.363
14 Tm 0.919 0.419 0.637



Entry 9:
TbCe2Zn8 after structural relaxation. Source: Alexandria via LeMat-Bulk, functional PBE.

Summary:
Formation energy from the elements (eV/f.u.): -2.72
Total DFT energy (no corrections) (eV per atom): -2.674
DOS at the Fermi energy (states/eV/f.u.): 10.75

Unit cell a=8.274 b=8.274 c=4.848 alpha=107.01 beta=107.01 gamma=123.53
Element x y z (fractional)
1 Tb 0.000 0.000 0.000
2 Ce 0.307 0.693 0.500
3 Ce 0.693 0.307 0.500
4 Zn 0.102 0.337 0.720
5 Zn 0.197 0.803 0.000
6 Zn 0.337 0.102 0.720
7 Zn 0.499 0.499 0.751
8 Zn 0.501 0.501 0.249
9 Zn 0.663 0.898 0.280
10 Zn 0.803 0.197 0.000
11 Zn 0.898 0.663 0.280



Entry 10:
NbFeI2 after structural relaxation. Source: Alexandria via LeMat-Bulk, functional PBE.

Summary:
Total DFT energy (no corrections) (eV per atom): -4.479
Uncorrected formation energy (eV/atom): 0.929
Energy above the most stable polymorph in this dataset (eV per formula unit): 0.19
DOS at the Fermi energy (states/eV/f.u.): 5.96

Unit cell a=4.806 b=4.806 c=4.806 alpha=60.00 beta=60.00 gamma=60.00
Element x y z (fractional)
1 Nb 0.000 0.000 0.000
2 Fe 0.500 0.500 0.500
3 I 0.250 0.250 0.250
4 I 0.750 0.750 0.750



Entry 11:
NbCo3Pt after structural relaxation. Source: Alexandria via LeMat-Bulk, functional PBE.

Summary:
Formation energy from the elements (eV/f.u.): 7.04
Total DFT energy (no corrections) (eV per atom): -6.078
Energy above the most stable polymorph in this dataset (eV per formula unit): 0.17
DOS at the Fermi energy (states/eV/f.u.): 6.73

Unit cell a=4.366 b=4.366 c=4.366 alpha=90.00 beta=90.00 gamma=90.00
Element x y z (fractional)
1 Nb 0.000 0.000 0.000
2 Co 0.000 0.000 0.500
3 Co 0.000 0.500 0.000
4 Co 0.500 0.000 0.000
5 Pt 0.500 0.500 0.500



Entry 12:
AcAlInHg after structural relaxation. Source: Alexandria via LeMat-Bulk, functional PBE.

Summary:
Formation energy from the elements (eV/f.u.): -0.84
Total DFT energy (no corrections) (eV per atom): -2.933
DOS at the Fermi energy (states/eV/f.u.): 4.93

Unit cell a=5.383 b=5.383 c=5.383 alpha=60.00 beta=60.00 gamma=60.00
Element x y z (fractional)
1 Ac 0.000 0.000 0.000
2 Al 0.750 0.750 0.750
3 In 0.500 0.500 0.500
4 Hg 0.250 0.250 0.250